[1]
Entry from Alexandria: Nd2TmNpN4 after structural relaxation (GGA-PBE).

Cell and atoms, written as CIF:
```
data_Nd2TmNpN4
_chemical_formula_sum 'Nd2 Tm1 Np1 N4'
_cell_length_a 6.033
_cell_length_b 3.520
_cell_length_c 6.130
_cell_angle_alpha 90.00
_cell_angle_beta 108.72
_cell_angle_gamma 90.00
_symmetry_space_group_name_H-M 'P 1'
_symmetry_Int_Tables_number 1
_symmetry_space_group_name_Hall 'P 1'
loop_
_atom_site_label
_atom_site_fract_x
_atom_site_fract_y
_atom_site_fract_z
Nd1 0.000 0.000 0.000
Nd2 0.500 0.500 0.000
Tm1 0.000 0.500 0.500
Np1 0.500 0.000 0.500
N1 0.255 0.000 0.718
N2 0.265 0.500 0.280
N3 0.735 0.500 0.720
N4 0.745 0.000 0.282
```

Results
The uncorrected formation energy is -1.427 eV per atom. The total energy comes out at -0.3292 hartree per atom. Its calculated volume is 123 Å³ per cell.

=====

[2]
Entry from Alexandria: NdTm2NpN4 after structural relaxation (GGA-PBE).

Cell and atoms, written as CIF:
```
data_NdTm2NpN4
_chemical_formula_sum 'Nd2 Tm4 Np2 N8'
_cell_length_a 6.743
_cell_length_b 6.743
_cell_length_c 10.834
_cell_angle_alpha 90.00
_cell_angle_beta 90.00
_cell_angle_gamma 150.86
_symmetry_space_group_name_H-M 'P 1'
_symmetry_Int_Tables_number 1
_symmetry_space_group_name_Hall 'P 1'
loop_
_atom_site_label
_atom_site_fract_x
_atom_site_fract_y
_atom_site_fract_z
Nd1 0.232 0.768 0.750
Nd2 0.768 0.232 0.250
Tm1 0.372 0.628 0.013
Tm2 0.372 0.628 0.487
Tm3 0.628 0.372 0.513
Tm4 0.628 0.372 0.987
Np1 0.034 0.966 0.250
Np2 0.966 0.034 0.750
N1 0.000 0.000 0.000
N2 0.000 0.000 0.500
N3 0.201 0.799 0.109
N4 0.201 0.799 0.391
N5 0.421 0.579 0.250
N6 0.579 0.421 0.750
N7 0.799 0.201 0.609
N8 0.799 0.201 0.891
```

Results
The uncorrected formation energy is -1.249 eV per atom. The total energy comes out at -0.3213 hartree per atom. Its calculated volume is 240 Å³ per cell.

=====

[3]
Entry from Alexandria: Nd2NpVN5 after structural relaxation (GGA-PBE).

Cell and atoms, written as CIF:
```
data_Nd2NpVN5
_chemical_formula_sum 'Nd4 Np2 V2 N10'
_cell_length_a 7.112
_cell_length_b 7.112
_cell_length_c 10.461
_cell_angle_alpha 90.00
_cell_angle_beta 90.00
_cell_angle_gamma 151.67
_symmetry_space_group_name_H-M 'P 1'
_symmetry_Int_Tables_number 1
_symmetry_space_group_name_Hall 'P 1'
loop_
_atom_site_label
_atom_site_fract_x
_atom_site_fract_y
_atom_site_fract_z
Nd1 0.107 0.893 0.500
Nd2 0.140 0.860 0.114
Nd3 0.860 0.140 0.614
Nd4 0.893 0.107 0.000
Np1 0.207 0.793 0.822
Np2 0.793 0.207 0.322
V1 0.488 0.512 0.272
V2 0.512 0.488 0.772
N1 0.042 0.958 0.843
N2 0.284 0.716 0.458
N3 0.314 0.686 0.196
N4 0.373 0.627 0.816
N5 0.492 0.508 0.603
N6 0.508 0.492 0.103
N7 0.627 0.373 0.316
N8 0.686 0.314 0.696
N9 0.716 0.284 0.958
N10 0.958 0.042 0.343
```

Results
The uncorrected formation energy is -1.201 eV per atom. The total energy comes out at -0.3431 hartree per atom. Its calculated volume is 251 Å³ per cell.

=====

[4]
Entry from Alexandria: NdNp2VN4 after structural relaxation (GGA-PBE).

Cell and atoms, written as CIF:
```
data_NdNp2VN4
_chemical_formula_sum 'Nd2 Np4 V2 N8'
_cell_length_a 6.047
_cell_length_b 6.047
_cell_length_c 11.543
_cell_angle_alpha 90.00
_cell_angle_beta 90.00
_cell_angle_gamma 147.20
_symmetry_space_group_name_H-M 'P 1'
_symmetry_Int_Tables_number 1
_symmetry_space_group_name_Hall 'P 1'
loop_
_atom_site_label
_atom_site_fract_x
_atom_site_fract_y
_atom_site_fract_z
Nd1 0.100 0.900 0.750
Nd2 0.900 0.100 0.250
Np1 0.368 0.632 0.548
Np2 0.368 0.632 0.952
Np3 0.632 0.368 0.048
Np4 0.632 0.368 0.452
V1 0.162 0.838 0.250
V2 0.838 0.162 0.750
N1 0.000 0.000 0.000
N2 0.000 0.000 0.500
N3 0.266 0.734 0.121
N4 0.266 0.734 0.379
N5 0.435 0.565 0.750
N6 0.565 0.435 0.250
N7 0.734 0.266 0.621
N8 0.734 0.266 0.879
```

Results
The uncorrected formation energy is -1.071 eV per atom. The total energy comes out at -0.3750 hartree per atom. Its calculated volume is 229 Å³ per cell.

=====

[5]
Entry from Alexandria: Nd2Y3NpN6 after structural relaxation (GGA-PBE).

Cell and atoms, written as CIF:
```
data_Nd2Y3NpN6
_chemical_formula_sum 'Nd2 Y3 Np1 N6'
_cell_length_a 6.110
_cell_length_b 6.110
_cell_length_c 6.080
_cell_angle_alpha 99.62
_cell_angle_beta 99.62
_cell_angle_gamma 119.99
_symmetry_space_group_name_H-M 'P 1'
_symmetry_Int_Tables_number 1
_symmetry_space_group_name_Hall 'P 1'
loop_
_atom_site_label
_atom_site_fract_x
_atom_site_fract_y
_atom_site_fract_z
Nd1 0.167 0.833 0.000
Nd2 0.833 0.167 0.000
Y1 0.000 0.000 0.500
Y2 0.334 0.666 0.500
Y3 0.666 0.334 0.500
Np1 0.500 0.500 0.000
N1 0.107 0.416 0.750
N2 0.275 0.275 0.244
N3 0.416 0.107 0.750
N4 0.584 0.893 0.250
N5 0.725 0.725 0.756
N6 0.893 0.584 0.250
```

Results
The uncorrected formation energy is -1.484 eV per atom. The total energy comes out at -0.3357 hartree per atom. Its calculated volume is 185 Å³ per cell.

=====

[6]
Entry from Alexandria: Nd2YNpN4 after structural relaxation (GGA-PBE).

Cell and atoms, written as CIF:
```
data_Nd2YNpN4
_chemical_formula_sum 'Nd2 Y1 Np1 N4'
_cell_length_a 6.081
_cell_length_b 3.542
_cell_length_c 6.152
_cell_angle_alpha 90.00
_cell_angle_beta 108.80
_cell_angle_gamma 90.00
_symmetry_space_group_name_H-M 'P 1'
_symmetry_Int_Tables_number 1
_symmetry_space_group_name_Hall 'P 1'
loop_
_atom_site_label
_atom_site_fract_x
_atom_site_fract_y
_atom_site_fract_z
Nd1 0.000 0.000 0.000
Nd2 0.500 0.500 0.000
Y1 0.000 0.500 0.500
Np1 0.500 0.000 0.500
N1 0.260 0.000 0.722
N2 0.267 0.500 0.277
N3 0.733 0.500 0.723
N4 0.740 0.000 0.278
```

Results
The uncorrected formation energy is -1.401 eV per atom. The total energy comes out at -0.3374 hartree per atom. Its calculated volume is 125 Å³ per cell.

=====

[7]
Entry from Alexandria: Nd3Y2NpN6 after structural relaxation (GGA-PBE).

Cell and atoms, written as CIF:
```
data_Nd3Y2NpN6
_chemical_formula_sum 'Nd3 Y2 Np1 N6'
_cell_length_a 6.110
_cell_length_b 6.110
_cell_length_c 6.169
_cell_angle_alpha 99.51
_cell_angle_beta 99.51
_cell_angle_gamma 119.99
_symmetry_space_group_name_H-M 'P 1'
_symmetry_Int_Tables_number 1
_symmetry_space_group_name_Hall 'P 1'
loop_
_atom_site_label
_atom_site_fract_x
_atom_site_fract_y
_atom_site_fract_z
Nd1 0.000 0.000 0.000
Nd2 0.332 0.668 0.000
Nd3 0.668 0.332 0.000
Y1 0.166 0.834 0.500
Y2 0.834 0.166 0.500
Np1 0.500 0.500 0.500
N1 0.113 0.426 0.277
N2 0.262 0.262 0.726
N3 0.426 0.113 0.277
N4 0.574 0.887 0.723
N5 0.738 0.738 0.274
N6 0.887 0.574 0.723
```

Results
The uncorrected formation energy is -1.456 eV per atom. The total energy comes out at -0.3295 hartree per atom. Its calculated volume is 188 Å³ per cell.

=====

[8]
Entry from Alexandria: Nd2ZrNpN6 after structural relaxation (GGA-PBE).

Cell and atoms, written as CIF:
```
data_Nd2ZrNpN6
_chemical_formula_sum 'Nd4 Zr2 Np2 N12'
_cell_length_a 5.830
_cell_length_b 5.908
_cell_length_c 10.146
_cell_angle_alpha 90.00
_cell_angle_beta 125.05
_cell_angle_gamma 90.00
_symmetry_space_group_name_H-M 'P 1'
_symmetry_Int_Tables_number 1
_symmetry_space_group_name_Hall 'P 1'
loop_
_atom_site_label
_atom_site_fract_x
_atom_site_fract_y
_atom_site_fract_z
Nd1 0.238 0.043 0.251
Nd2 0.238 0.457 0.751
Nd3 0.762 0.543 0.249
Nd4 0.762 0.957 0.749
Zr1 0.500 0.000 0.000
Zr2 0.500 0.500 0.500
Np1 0.000 0.000 0.500
Np2 0.000 0.500 0.000
N1 0.149 0.218 0.943
N2 0.149 0.282 0.443
N3 0.229 0.703 0.948
N4 0.229 0.797 0.448
N5 0.343 0.032 0.743
N6 0.343 0.468 0.243
N7 0.657 0.532 0.757
N8 0.657 0.968 0.257
N9 0.771 0.203 0.552
N10 0.771 0.297 0.052
N11 0.851 0.718 0.557
N12 0.851 0.782 0.057
```

Results
The uncorrected formation energy is -1.129 eV per atom. The total energy comes out at -0.3391 hartree per atom. Its calculated volume is 286 Å³ per cell.

=====

[9]
Entry from Alexandria: Nd4NO after structural relaxation (GGA-PBE).

Cell and atoms, written as CIF:
```
data_Nd4NO
_chemical_formula_sum 'Nd8 N2 O2'
_cell_length_a 6.332
_cell_length_b 5.888
_cell_length_c 7.268
_cell_angle_alpha 90.00
_cell_angle_beta 90.00
_cell_angle_gamma 90.00
_symmetry_space_group_name_H-M 'P 1'
_symmetry_Int_Tables_number 1
_symmetry_space_group_name_Hall 'P 1'
loop_
_atom_site_label
_atom_site_fract_x
_atom_site_fract_y
_atom_site_fract_z
Nd1 0.162 0.245 0.000
Nd2 0.162 0.255 0.500
Nd3 0.333 0.737 0.756
Nd4 0.333 0.763 0.256
Nd5 0.667 0.237 0.256
Nd6 0.667 0.263 0.756
Nd7 0.838 0.745 0.500
Nd8 0.838 0.755 0.000
N1 0.000 0.000 0.246
N2 0.000 0.500 0.746
O1 0.500 0.000 0.006
O2 0.500 0.500 0.506
```

Results
The uncorrected formation energy is -1.267 eV per atom. The total energy comes out at -0.2447 hartree per atom. Its calculated volume is 271 Å³ per cell.

=====

[10]
Entry from Alexandria: Nd2NO after structural relaxation (GGA-PBE).

Cell and atoms, written as CIF:
```
data_Nd2NO
_chemical_formula_sum 'Nd2 N1 O1'
_cell_length_a 6.292
_cell_length_b 6.292
_cell_length_c 6.292
_cell_angle_alpha 33.23
_cell_angle_beta 33.23
_cell_angle_gamma 33.23
_symmetry_space_group_name_H-M 'P 1'
_symmetry_Int_Tables_number 1
_symmetry_space_group_name_Hall 'P 1'
loop_
_atom_site_label
_atom_site_fract_x
_atom_site_fract_y
_atom_site_fract_z
Nd1 0.247 0.247 0.247
Nd2 0.753 0.753 0.753
N1 0.500 0.500 0.500
O1 0.000 0.000 0.000
```

Results
The uncorrected formation energy is -2.147 eV per atom. The total energy comes out at -0.2885 hartree per atom. Its calculated volume is 67 Å³ per cell. For the excess energy over the best structure of this formula in the dataset, the calculation gives 0.000 eV per atom.

=====

[11]
Entry from Alexandria: Nd4N3O after structural relaxation (GGA-PBE).

Cell and atoms, written as CIF:
```
data_Nd4N3O
_chemical_formula_sum 'Nd4 N3 O1'
_cell_length_a 5.134
_cell_length_b 5.134
_cell_length_c 5.134
_cell_angle_alpha 90.00
_cell_angle_beta 90.00
_cell_angle_gamma 90.00
_symmetry_space_group_name_H-M 'P 1'
_symmetry_Int_Tables_number 1
_symmetry_space_group_name_Hall 'P 1'
loop_
_atom_site_label
_atom_site_fract_x
_atom_site_fract_y
_atom_site_fract_z
Nd1 0.000 0.000 0.000
Nd2 0.000 0.500 0.500
Nd3 0.500 0.000 0.500
Nd4 0.500 0.500 0.000
N1 0.000 0.000 0.500
N2 0.000 0.500 0.000
N3 0.500 0.000 0.000
O1 0.500 0.500 0.500
```

Results
The uncorrected formation energy is -1.762 eV per atom. The total energy comes out at -0.2899 hartree per atom. Its calculated volume is 135 Å³ per cell. For the excess energy over the best structure of this formula in the dataset, the calculation gives 0.024 eV per atom.

=====

[12]
Entry from Alexandria: Nd4NO4 after structural relaxation (GGA-PBE).

Cell and atoms, written as CIF:
```
data_Nd4NO4
_chemical_formula_sum 'Nd4 N1 O4'
_cell_length_a 6.748
_cell_length_b 6.748
_cell_length_c 6.748
_cell_angle_alpha 129.34
_cell_angle_beta 129.34
_cell_angle_gamma 74.46
_symmetry_space_group_name_H-M 'P 1'
_symmetry_Int_Tables_number 1
_symmetry_space_group_name_Hall 'P 1'
loop_
_atom_site_label
_atom_site_fract_x
_atom_site_fract_y
_atom_site_fract_z
Nd1 0.099 0.658 0.000
Nd2 0.342 0.342 0.441
Nd3 0.658 0.099 0.000
Nd4 0.901 0.901 0.559
N1 0.000 0.000 0.000
O1 0.000 0.500 0.500
O2 0.271 0.271 0.000
O3 0.500 0.000 0.500
O4 0.729 0.729 0.000
```

Results
The uncorrected formation energy is -2.544 eV per atom. The total energy comes out at -0.2863 hartree per atom. Its calculated volume is 179 Å³ per cell.